1.
# Be2GaAu2

A relaxed structure of Be2GaAu2 (PBE, OQMD).

VASP energy   -35.14 eV per cell
Theoretical density   10.9 g/cm3

a b c (Å): 3.424 3.424 12.519
angles (deg): 90.00 90.00 90.00
Space group I4/mmm (No. 139)
Inequivalent atoms, fractional coordinates:
Be (0.000, 0.500, 0.250) [4 per cell]
Ga (0.000, 0.000, 0.000) [2 per cell]
Au (0.000, 0.000, 0.380) [4 per cell]

=====

2.
# TbAl3

A relaxed structure of TbAl3 (PBE, OQMD).

VASP energy   -64.73 eV per cell
Theoretical density   4.9 g/cm3

a b c (Å): 6.858 6.858 6.858
angles (deg): 90.00 90.00 90.00
Space group Fm-3m (No. 225)
Inequivalent atoms, fractional coordinates:
Tb (0.000, 0.000, 0.000) [4 per cell]
Al (0.000, 0.000, 0.500) [4 per cell]
Al (0.250, 0.250, 0.250) [8 per cell]

=====

3.
# PaInPO

A relaxed structure of PaInPO (PBE, OQMD).

Theoretical density   5.7 g/cm3
Relative energy among the computed polymorphs   3.895 eV per formula unit

a b c (Å): 4.793 4.793 10.029
angles (deg): 90.00 90.00 90.00
Space group P4/nmm (No. 129, origin choice 2)
Inequivalent atoms, fractional coordinates:
Pa (0.250, 0.750, 0.000) [2 per cell]
In (0.250, 0.250, 0.474) [2 per cell]
P (0.250, 0.250, 0.864) [2 per cell]
O (0.250, 0.750, 0.500) [2 per cell]

=====

4.
# Zn2CoTc

A relaxed structure of Zn2CoTc (PBE, OQMD).

Theoretical density   9.0 g/cm3
Relative energy among the computed polymorphs   0.293 eV per formula unit
ΔE_f   0.199 eV per atom

a b c (Å): 5.969 5.969 5.969
angles (deg): 90.00 90.00 90.00
Space group Fm-3m (No. 225)
Inequivalent atoms, fractional coordinates:
Zn (0.250, 0.250, 0.250) [8 per cell]
Co (0.000, 0.000, 0.000) [4 per cell]
Tc (0.000, 0.000, 0.500) [4 per cell]

=====

5.
# Cu5Ag4

A relaxed structure of Cu5Ag4 (PBE, OQMD).

Theoretical density   9.5 g/cm3
Relative energy among the computed polymorphs   0.368 eV per formula unit
ΔE_f   0.081 eV per atom

a b c (Å): 9.429 2.837 10.562
angles (deg): 90.00 111.94 90.00
Space group Cm (No. 8)
Inequivalent atoms, fractional coordinates:
Cu (0.000, 0.000, 0.000) [2 per cell]
Cu (0.012, 0.000, 0.701) [2 per cell]
Cu (0.136, 0.500, 0.572) [2 per cell]
Cu (0.161, 0.500, 0.908) [2 per cell]
Cu (0.341, 0.000, 0.097) [2 per cell]
Ag (0.173, 0.500, 0.214) [2 per cell]
Ag (0.324, 0.000, 0.481) [2 per cell]
Ag (0.324, 0.000, 0.786) [2 per cell]
Ag (0.493, 0.500, 0.338) [2 per cell]

=====

6.
# PmTeOs

A relaxed structure of PmTeOs (PBE, OQMD).

Theoretical density   10.5 g/cm3
Relative energy among the computed polymorphs   0.000 eV per formula unit

a b c (Å): 6.642 6.642 6.642
angles (deg): 90.00 90.00 90.00
Space group F-43m (No. 216)
Inequivalent atoms, fractional coordinates:
Pm (0.000, 0.000, 0.000) [4 per cell]
Te (0.000, 0.000, 0.500) [4 per cell]
Os (0.250, 0.250, 0.250) [4 per cell]

=====

7.
# AcNbNi

A relaxed structure of AcNbNi (PBE, OQMD).

Theoretical density   8.2 g/cm3
Relative energy among the computed polymorphs   0.000 eV per formula unit
ΔE_f   0.641 eV per atom

a b c (Å): 6.751 6.751 6.751
angles (deg): 90.00 90.00 90.00
Space group F-43m (No. 216)
Inequivalent atoms, fractional coordinates:
Ac (0.000, 0.000, 0.000) [4 per cell]
Nb (0.000, 0.000, 0.500) [4 per cell]
Ni (0.250, 0.250, 0.250) [4 per cell]

=====

8.
# GdSnNO

A relaxed structure of GdSnNO (PBE, OQMD).

Theoretical density   7.6 g/cm3
Relative energy among the computed polymorphs   1.516 eV per formula unit

a b c (Å): 4.220 4.220 7.548
angles (deg): 90.00 90.00 90.00
Space group P4/nmm (No. 129, origin choice 2)
Inequivalent atoms, fractional coordinates:
Gd (0.250, 0.250, 0.123) [2 per cell]
Sn (0.250, 0.750, 0.500) [2 per cell]
N (0.250, 0.250, 0.643) [2 per cell]
O (0.250, 0.750, 0.000) [2 per cell]

=====

Question: Which of these has the highest theoretical density?
Answer: Be2GaAu2

=====

Question: Which of these has the lowest theoretical density?
Answer: TbAl3

=====

Copy entry 6 word for word.
# PmTeOs

A relaxed structure of PmTeOs (PBE, OQMD).

Theoretical density   10.5 g/cm3
Relative energy among the computed polymorphs   0.000 eV per formula unit

a b c (Å): 6.642 6.642 6.642
angles (deg): 90.00 90.00 90.00
Space group F-43m (No. 216)
Inequivalent atoms, fractional coordinates:
Pm (0.000, 0.000, 0.000) [4 per cell]
Te (0.000, 0.000, 0.500) [4 per cell]
Os (0.250, 0.250, 0.250) [4 per cell]